A relaxed Pr2AlGa5 crystal. Source: Alexandria, functional PBE.

## Properties
spin magnetization	0.000	μB/atom
calculated volume	21.317	Å³ per atom
crystal system	tetragonal
D(E_F)	0.382	states/eV per atom
calculated total energy	-4.03	eV/atom
ΔE_f	-0.471	eV per atom

a = 6.237 Å, b = 6.237 Å, c = 8.767 Å
α = 90.00°, β = 90.00°, γ = 90.00°
Space group I4mm (No. 107)
Inequivalent atoms, fractional coordinates:
Pr1 0.000 0.500 0.000 [4 per cell]
Al1 0.000 0.000 0.039 [2 per cell]
Ga1 0.000 0.000 0.454 [2 per cell]
Ga2 0.230 0.230 0.750 [8 per cell]

---

A relaxed Pr2Al5Ga3 crystal. Source: Alexandria, functional PBE.

## Properties
spin magnetization	0.000	μB/atom
calculated volume	20.555	Å³ per atom
crystal system	orthorhombic
D(E_F)	0.441	states/eV per atom
calculated total energy	-4.13	eV/atom
ΔE_f	-0.390	eV per atom

a = 11.089 Å, b = 12.244 Å, c = 6.055 Å
α = 90.00°, β = 90.00°, γ = 90.00°
Space group Ibam (No. 72)
Inequivalent atoms, fractional coordinates:
Pr1 0.246 0.127 0.000 [8 per cell]
Al1 0.000 0.261 0.250 [8 per cell]
Al2 0.000 0.500 0.250 [4 per cell]
Al3 0.130 0.129 0.500 [8 per cell]
Ga1 0.000 0.000 0.250 [4 per cell]
Ga2 0.143 0.380 0.000 [8 per cell]

---

A relaxed Pr3Al2Ga3 crystal. Source: Alexandria, functional PBE.

## Properties
spin magnetization	0.089	μB/atom
calculated volume	23.740	Å³ per atom
crystal system	orthorhombic
D(E_F)	0.734	states/eV per atom
calculated total energy	-4.43	eV/atom
ΔE_f	-0.569	eV per atom

a = 4.447 Å, b = 11.410 Å, c = 14.972 Å
α = 90.00°, β = 90.00°, γ = 90.00°
Space group Cmcm (No. 63)
Inequivalent atoms, fractional coordinates:
Pr1 0.000 0.073 0.112 [8 per cell]
Pr2 0.000 0.361 0.250 [4 per cell]
Al1 0.000 0.220 0.598 [8 per cell]
Ga1 0.000 0.349 0.750 [4 per cell]
Ga2 0.000 0.380 0.039 [8 per cell]